First-principles (PBE) data for a relaxed Be2PtS2 crystal, as listed in Alexandria via LeMat-Bulk.

Results
**Crystal system**: tetragonal
**Raw formation energy**: -42 meV per atom
**Total DFT energy (no corrections)**: -4.391 eV/atom

Cell lengths 3.313, 3.313, 6.961 Å; angles 76.23, 76.23, 90.00 degrees
Atoms (fractional coordinates):
Be1 0.250 0.750 0.500
S1 0.651 0.651 0.698
Be2 0.750 0.250 0.500
Pt1 0.000 0.000 0.000
S2 0.349 0.349 0.302